RbVPdO4 (GGA+U, relaxed); SG = No. 63; mass density = 3.95 g/cm3; E = -6.05 eV per atom
1.0
6.238 0.272 0.000
-2.257 5.822 0.000
0.000 0.000 6.983
Rb V Pd O
2 2 2 8
direct
0.500 0.500 0.500
0.500 0.500 0.000
0.111 0.889 0.250
0.889 0.111 0.750
0.834 0.166 0.250
0.166 0.834 0.750
0.187 0.196 0.750
0.804 0.813 0.750
0.792 0.208 0.957
0.792 0.208 0.543
0.208 0.792 0.043
0.208 0.792 0.457
0.813 0.804 0.250
0.196 0.187 0.250